This record from the Alexandria database describes an optimized crystal structure of Ho2ZrS. The functional is PBE.

abc: 3.5415 3.5415 28.7274
angles: 90.00 90.00 120.00
Space group R-3m (No. 166, hexagonal axes)
Symmetry-distinct sites (fractional):
Ho 0.0000 0.0000 0.1070 [6 per cell]
Zr 0.0000 0.0000 0.0000 [3 per cell]
S 0.0000 0.0000 0.5000 [3 per cell]

Values from the calculation:
Uncorrected formation energy in meV per atom: -534.0
VASP energy in eV per atom: -5.9918


This record from the Alexandria database describes an optimized crystal structure of Sr2Tl8Pb. The functional is PBE.

abc: 5.169 5.169 13.437
angles: 90.00 90.00 90.00
Space group P4/mmm (No. 123)
Symmetry-distinct sites (fractional):
Sr 0.000 0.000 0.181 [2 per cell]
Tl 0.000 0.500 0.000 [2 per cell]
Tl 0.000 0.500 0.355 [4 per cell]
Tl 0.500 0.500 0.169 [2 per cell]
Pb 0.000 0.000 0.500 [1 per cell]

Values from the calculation:
DFT formation energy in eV per atom: -0.152
VASP energy in eV per atom: -2.5154


> The lowest VASP energy belongs to which entry?

Ho2ZrS


> Which of these has the lowest VASP energy?

Ho2ZrS


> Which formula does entry 1 have?

Ho2ZrS


Copy entry 1 word for word.
This record from the Alexandria database describes an optimized crystal structure of Ho2ZrS. The functional is PBE.

abc: 3.5415 3.5415 28.7274
angles: 90.00 90.00 120.00
Space group R-3m (No. 166, hexagonal axes)
Symmetry-distinct sites (fractional):
Ho 0.0000 0.0000 0.1070 [6 per cell]
Zr 0.0000 0.0000 0.0000 [3 per cell]
S 0.0000 0.0000 0.5000 [3 per cell]

Values from the calculation:
Uncorrected formation energy in meV per atom: -534.0
VASP energy in eV per atom: -5.9918